Entry from Alexandria via LeMat-Bulk: RbTlCoO3 after structural relaxation (GGA+U).

a b c (Å): 3.4866 9.6665 6.9201
angles (deg): 107.06 90.00 90.00
With the nearest neighbours (Å) after each atom.
Fractional positions:
Tl: 0.7500 0.3533 0.8674  5 O 2.29-2.39
Tl: 0.2500 0.6467 0.1326  5 O 2.29-2.39
Rb: 0.2500 0.2975 0.3315  5 O 2.80-3.02
Rb: 0.7500 0.7025 0.6685  5 O 2.80-3.02
Co: 0.2500 0.0778 0.6402  4 O 1.93-2.04
Co: 0.7500 0.9222 0.3598  4 O 1.93-2.04
O: 0.2500 0.2116 0.9083  1 Co 1.93
O: 0.7500 0.1309 0.5263  3 Co 2.01-2.04
O: 0.2500 0.8691 0.4737  3 Co 2.01-2.04
O: 0.2500 0.4891 0.7942  3 Tl 2.33-2.39
O: 0.7500 0.7884 0.0917  1 Co 1.93
O: 0.7500 0.5109 0.2058  3 Tl 2.33-2.39

Calculated values
Total DFT energy (no corrections): -4.838 eV per atom
Spin magnetization: 3.01 μB/f.u.